Entry 1:
# Pr3Pt8Au | Alexandria | PBE | relaxed
# DOS at the Fermi energy in states/eV/f.u.: 7.5
# E_form in meV per atom: -917
# Total magnetic moment in μB per formula unit: 0.00
# Space group: No. 160
data_Pr3Pt8Au
_chemical_formula_sum 'Pr3 Pt8 Au1'
_cell_length_a 9.5238
_cell_length_b 9.5238
_cell_length_c 9.5238
_cell_angle_alpha 33.48
_cell_angle_beta 33.48
_cell_angle_gamma 33.48
_space_group_name_H-M_alt 'P 1'
_space_group_IT_number 1
loop_
_space_group_symop_operation_xyz
'x,y,z'
loop_
_atom_site_label
_atom_site_type_symbol
_atom_site_fract_x
_atom_site_fract_y
_atom_site_fract_z
_atom_site_occupancy
Pr1 Pr 0.0000 0.0000 0.0000 1
Pr2 Pr 0.1301 0.1301 0.1301 1
Pr3 Pr 0.6117 0.6117 0.6117 1
Pt1 Pt 0.0594 0.0594 0.5643 1
Pt2 Pt 0.0594 0.5643 0.0594 1
Pt3 Pt 0.0599 0.5598 0.5598 1
Pt4 Pt 0.3103 0.3103 0.3103 1
Pt5 Pt 0.5598 0.0599 0.5598 1
Pt6 Pt 0.5598 0.5598 0.0599 1
Pt7 Pt 0.5643 0.0594 0.0594 1
Pt8 Pt 0.8107 0.8107 0.8107 1
Au1 Au 0.4923 0.4923 0.4923 1

=====

Entry 2:
# Pr2Pt2Au3 | Alexandria | PBE | relaxed
# DOS at the Fermi energy in states/eV/f.u.: 3.3
# E_form in meV per atom: -784
# Total magnetic moment in μB per formula unit: 0.00
# Space group: No. 12
data_Pr2Pt2Au3
_chemical_formula_sum 'Pr2 Pt2 Au3'
_cell_length_a 5.5849
_cell_length_b 5.5849
_cell_length_c 7.1277
_cell_angle_alpha 96.25
_cell_angle_beta 96.25
_cell_angle_gamma 44.46
_space_group_name_H-M_alt 'P 1'
_space_group_IT_number 1
loop_
_space_group_symop_operation_xyz
'x,y,z'
loop_
_atom_site_label
_atom_site_type_symbol
_atom_site_fract_x
_atom_site_fract_y
_atom_site_fract_z
_atom_site_occupancy
Pr1 Pr 0.1168 0.1168 0.3224 1
Pr2 Pr 0.8832 0.8832 0.6776 1
Pt1 Pt 0.4067 0.4067 0.3550 1
Pt2 Pt 0.5933 0.5933 0.6450 1
Au1 Au 0.1965 0.1965 0.8771 1
Au2 Au 0.5000 0.5000 0.0000 1
Au3 Au 0.8035 0.8035 0.1229 1

=====

Entry 3:
# Pr2Pt15Au2 | Alexandria | PBE | relaxed
# DOS at the Fermi energy in states/eV/f.u.: 14.1
# E_form in meV per atom: -426
# Total magnetic moment in μB per formula unit: 0.00
# Space group: No. 166
data_Pr2Pt15Au2
_chemical_formula_sum 'Pr2 Pt15 Au2'
_cell_length_a 7.0319
_cell_length_b 7.0319
_cell_length_c 7.0319
_cell_angle_alpha 83.81
_cell_angle_beta 83.81
_cell_angle_gamma 83.81
_space_group_name_H-M_alt 'P 1'
_space_group_IT_number 1
loop_
_space_group_symop_operation_xyz
'x,y,z'
loop_
_atom_site_label
_atom_site_type_symbol
_atom_site_fract_x
_atom_site_fract_y
_atom_site_fract_z
_atom_site_occupancy
Pr1 Pr 0.1566 0.1566 0.1566 1
Pr2 Pr 0.8434 0.8434 0.8434 1
Pt1 Pt 0.0000 0.5000 0.5000 1
Pt2 Pt 0.1552 0.1552 0.6635 1
Pt3 Pt 0.1552 0.6635 0.1552 1
Pt4 Pt 0.1864 0.5000 0.8136 1
Pt5 Pt 0.1864 0.8136 0.5000 1
Pt6 Pt 0.3365 0.8448 0.8448 1
Pt7 Pt 0.5000 0.0000 0.5000 1
Pt8 Pt 0.5000 0.1864 0.8136 1
Pt9 Pt 0.5000 0.5000 0.0000 1
Pt10 Pt 0.5000 0.8136 0.1864 1
Pt11 Pt 0.6635 0.1552 0.1552 1
Pt12 Pt 0.8136 0.1864 0.5000 1
Pt13 Pt 0.8136 0.5000 0.1864 1
Pt14 Pt 0.8448 0.3365 0.8448 1
Pt15 Pt 0.8448 0.8448 0.3365 1
Au1 Au 0.3962 0.3962 0.3962 1
Au2 Au 0.6038 0.6038 0.6038 1

=====

Entry 4:
# Pr3Pt4Au | Alexandria | PBE | relaxed
# DOS at the Fermi energy in states/eV/f.u.: 3.0
# E_form in meV per atom: -893
# Total magnetic moment in μB per formula unit: 0.00
# Space group: No. 71
data_Pr3Pt4Au
_chemical_formula_sum 'Pr3 Pt4 Au1'
_cell_length_a 8.2241
_cell_length_b 8.2241
_cell_length_c 8.2241
_cell_angle_alpha 151.33
_cell_angle_beta 131.42
_cell_angle_gamma 57.38
_space_group_name_H-M_alt 'P 1'
_space_group_IT_number 1
loop_
_space_group_symop_operation_xyz
'x,y,z'
loop_
_atom_site_label
_atom_site_type_symbol
_atom_site_fract_x
_atom_site_fract_y
_atom_site_fract_z
_atom_site_occupancy
Pr1 Pr 0.0000 0.0000 0.0000 1
Pr2 Pr 0.3190 0.8190 0.5000 1
Pr3 Pr 0.6810 0.1810 0.5000 1
Pt1 Pt 0.0701 0.3737 0.6964 1
Pt2 Pt 0.3227 0.6263 0.6964 1
Pt3 Pt 0.6773 0.3737 0.3036 1
Pt4 Pt 0.9299 0.6263 0.3036 1
Au1 Au 0.5000 0.5000 0.0000 1

=====

Entry 5:
# Pr8PtAu2 | Alexandria | PBE | relaxed
# DOS at the Fermi energy in states/eV/f.u.: 13.5
# E_form in meV per atom: -401
# Total magnetic moment in μB per formula unit: 0.00
# Space group: No. 8
data_Pr8PtAu2
_chemical_formula_sum 'Pr8 Pt1 Au2'
_cell_length_a 9.4047
_cell_length_b 9.4047
_cell_length_c 6.3775
_cell_angle_alpha 104.10
_cell_angle_beta 104.10
_cell_angle_gamma 131.30
_space_group_name_H-M_alt 'P 1'
_space_group_IT_number 1
loop_
_space_group_symop_operation_xyz
'x,y,z'
loop_
_atom_site_label
_atom_site_type_symbol
_atom_site_fract_x
_atom_site_fract_y
_atom_site_fract_z
_atom_site_occupancy
Pr1 Pr 0.0000 0.0000 0.0000 1
Pr2 Pr 0.2164 0.9568 0.6369 1
Pr3 Pr 0.4179 0.6414 0.3135 1
Pr4 Pr 0.4684 0.4684 0.7528 1
Pr5 Pr 0.5713 0.9540 0.9588 1
Pr6 Pr 0.6414 0.4179 0.3135 1
Pr7 Pr 0.9540 0.5713 0.9588 1
Pr8 Pr 0.9568 0.2164 0.6369 1
Pt1 Pt 0.8298 0.8298 0.3045 1
Au1 Au 0.0516 0.5035 0.4198 1
Au2 Au 0.5035 0.0516 0.4198 1

=====

Entry 6:
# PrPt2Au4 | Alexandria | PBE | relaxed
# DOS at the Fermi energy in states/eV/f.u.: 2.9
# E_form in meV per atom: -431
# Total magnetic moment in μB per formula unit: 0.00
# Space group: No. 12
data_PrPt2Au4
_chemical_formula_sum 'Pr1 Pt2 Au4'
_cell_length_a 5.6888
_cell_length_b 5.6888
_cell_length_c 5.4803
_cell_angle_alpha 118.71
_cell_angle_beta 118.71
_cell_angle_gamma 76.93
_space_group_name_H-M_alt 'P 1'
_space_group_IT_number 1
loop_
_space_group_symop_operation_xyz
'x,y,z'
loop_
_atom_site_label
_atom_site_type_symbol
_atom_site_fract_x
_atom_site_fract_y
_atom_site_fract_z
_atom_site_occupancy
Pr1 Pr 0.0000 0.0000 0.0000 1
Pt1 Pt 0.4998 0.4998 0.2504 1
Pt2 Pt 0.5002 0.5002 0.7496 1
Au1 Au 0.0008 0.3963 0.6985 1
Au2 Au 0.3963 0.0008 0.6985 1
Au3 Au 0.6037 0.9992 0.3015 1
Au4 Au 0.9992 0.6037 0.3015 1

=====

Entry 7:
# PrPt2Au2 | Alexandria | PBE | relaxed
# DOS at the Fermi energy in states/eV/f.u.: 1.6
# E_form in meV per atom: -536
# Total magnetic moment in μB per formula unit: 0.00
# Space group: No. 139
data_PrPt2Au2
_chemical_formula_sum 'Pr2 Pt4 Au4'
_cell_length_a 13.2841
_cell_length_b 13.2841
_cell_length_c 13.2841
_cell_angle_alpha 162.57
_cell_angle_beta 162.57
_cell_angle_gamma 24.74
_space_group_name_H-M_alt 'P 1'
_space_group_IT_number 1
loop_
_space_group_symop_operation_xyz
'x,y,z'
loop_
_atom_site_label
_atom_site_type_symbol
_atom_site_fract_x
_atom_site_fract_y
_atom_site_fract_z
_atom_site_occupancy
Pr1 Pr 0.1230 0.1230 0.0000 1
Pr2 Pr 0.8770 0.8770 0.0000 1
Pt1 Pt 0.2500 0.7500 0.5000 1
Pt2 Pt 0.4242 0.4242 0.0000 1
Pt3 Pt 0.5758 0.5758 0.0000 1
Pt4 Pt 0.7500 0.2500 0.5000 1
Au1 Au 0.0000 0.5000 0.5000 1
Au2 Au 0.3229 0.3229 0.0000 1
Au3 Au 0.5000 0.0000 0.5000 1
Au4 Au 0.6771 0.6771 0.0000 1

=====

Entry 8:
# Pr5Pt2Au | Alexandria | PBE | relaxed
# DOS at the Fermi energy in states/eV/f.u.: 8.3
# E_form in meV per atom: -767
# Total magnetic moment in μB per formula unit: 0.00
# Space group: No. 140
data_Pr5Pt2Au
_chemical_formula_sum 'Pr10 Pt4 Au2'
_cell_length_a 8.8860
_cell_length_b 8.8860
_cell_length_c 8.8860
_cell_angle_alpha 125.59
_cell_angle_beta 125.59
_cell_angle_gamma 80.56
_space_group_name_H-M_alt 'P 1'
_space_group_IT_number 1
loop_
_space_group_symop_operation_xyz
'x,y,z'
loop_
_atom_site_label
_atom_site_type_symbol
_atom_site_fract_x
_atom_site_fract_y
_atom_site_fract_z
_atom_site_occupancy
Pr1 Pr 0.0000 0.0000 0.0000 1
Pr2 Pr 0.0226 0.5226 0.8265 1
Pr3 Pr 0.1961 0.0226 0.5000 1
Pr4 Pr 0.3039 0.8039 0.8265 1
Pr5 Pr 0.4774 0.3039 0.5000 1
Pr6 Pr 0.5000 0.5000 0.0000 1
Pr7 Pr 0.5226 0.6961 0.5000 1
Pr8 Pr 0.6961 0.1961 0.1735 1
Pr9 Pr 0.8039 0.9774 0.5000 1
Pr10 Pr 0.9774 0.4774 0.1735 1
Pt1 Pt 0.1311 0.3689 0.5000 1
Pt2 Pt 0.3689 0.8689 0.2378 1
Pt3 Pt 0.6311 0.1311 0.7622 1
Pt4 Pt 0.8689 0.6311 0.5000 1
Au1 Au 0.2500 0.2500 0.0000 1
Au2 Au 0.7500 0.7500 0.0000 1

=====

Entry 9:
# Pr5Pt2Au5 | Alexandria | PBE | relaxed
# DOS at the Fermi energy in states/eV/f.u.: 7.4
# E_form in meV per atom: -842
# Total magnetic moment in μB per formula unit: 0.00
# Space group: No. 12
data_Pr5Pt2Au5
_chemical_formula_sum 'Pr5 Pt2 Au5'
_cell_length_a 8.7086
_cell_length_b 8.7086
_cell_length_c 11.8107
_cell_angle_alpha 131.70
_cell_angle_beta 131.70
_cell_angle_gamma 27.94
_space_group_name_H-M_alt 'P 1'
_space_group_IT_number 1
loop_
_space_group_symop_operation_xyz
'x,y,z'
loop_
_atom_site_label
_atom_site_type_symbol
_atom_site_fract_x
_atom_site_fract_y
_atom_site_fract_z
_atom_site_occupancy
Pr1 Pr 0.0000 0.0000 0.0000 1
Pr2 Pr 0.1062 0.1062 0.4076 1
Pr3 Pr 0.1948 0.1948 0.8150 1
Pr4 Pr 0.8052 0.8052 0.1850 1
Pr5 Pr 0.8938 0.8938 0.5924 1
Pt1 Pt 0.3676 0.3676 0.7449 1
Pt2 Pt 0.6324 0.6324 0.2551 1
Au1 Au 0.2677 0.2677 0.3295 1
Au2 Au 0.4215 0.4215 0.1413 1
Au3 Au 0.5000 0.5000 0.5000 1
Au4 Au 0.5785 0.5785 0.8587 1
Au5 Au 0.7323 0.7323 0.6705 1

=====

Entry 10:
# PrPtAu2 | Alexandria | PBE | relaxed
# DOS at the Fermi energy in states/eV/f.u.: 1.7
# E_form in meV per atom: -719
# Total magnetic moment in μB per formula unit: 0.00
# Space group: No. 11
data_PrPtAu2
_chemical_formula_sum 'Pr2 Pt2 Au4'
_cell_length_a 4.4084
_cell_length_b 7.6955
_cell_length_c 5.5570
_cell_angle_alpha 90.00
_cell_angle_beta 113.35
_cell_angle_gamma 90.00
_space_group_name_H-M_alt 'P 1'
_space_group_IT_number 1
loop_
_space_group_symop_operation_xyz
'x,y,z'
loop_
_atom_site_label
_atom_site_type_symbol
_atom_site_fract_x
_atom_site_fract_y
_atom_site_fract_z
_atom_site_occupancy
Pr1 Pr 0.0762 0.2500 0.1517 1
Pr2 Pr 0.9238 0.7500 0.8483 1
Pt1 Pt 0.2171 0.7500 0.4358 1
Pt2 Pt 0.7829 0.2500 0.5642 1
Au1 Au 0.3693 0.0558 0.7379 1
Au2 Au 0.3693 0.4442 0.7379 1
Au3 Au 0.6307 0.5558 0.2621 1
Au4 Au 0.6307 0.9442 0.2621 1

=====

Entry 11:
# Pr4PtAu3 | Alexandria | PBE | relaxed
# DOS at the Fermi energy in states/eV/f.u.: 6.1
# E_form in meV per atom: -873
# Total magnetic moment in μB per formula unit: 0.00
# Space group: No. 25
data_Pr4PtAu3
_chemical_formula_sum 'Pr4 Pt1 Au3'
_cell_length_a 3.9602
_cell_length_b 4.7671
_cell_length_c 11.2631
_cell_angle_alpha 90.00
_cell_angle_beta 90.00
_cell_angle_gamma 90.00
_space_group_name_H-M_alt 'P 1'
_space_group_IT_number 1
loop_
_space_group_symop_operation_xyz
'x,y,z'
loop_
_atom_site_label
_atom_site_type_symbol
_atom_site_fract_x
_atom_site_fract_y
_atom_site_fract_z
_atom_site_occupancy
Pr1 Pr 0.0000 0.0000 0.0000 1
Pr2 Pr 0.0000 0.5000 0.2643 1
Pr3 Pr 0.5000 0.0000 0.4830 1
Pr4 Pr 0.5000 0.5000 0.7670 1
Pt1 Pt 0.5000 0.0000 0.2160 1
Au1 Au 0.0000 0.0000 0.7145 1
Au2 Au 0.0000 0.5000 0.5422 1
Au3 Au 0.5000 0.5000 0.0432 1

=====

Entry 12:
# PrPtAu2 | Alexandria | PBE | relaxed
# DOS at the Fermi energy in states/eV/f.u.: 1.5
# E_form in meV per atom: -747
# Total magnetic moment in μB per formula unit: 0.00
# Space group: No. 15
data_PrPtAu2
_chemical_formula_sum 'Pr2 Pt2 Au4'
_cell_length_a 7.4080
_cell_length_b 7.4080
_cell_length_c 5.3217
_cell_angle_alpha 99.67
_cell_angle_beta 99.67
_cell_angle_gamma 137.80
_space_group_name_H-M_alt 'P 1'
_space_group_IT_number 1
loop_
_space_group_symop_operation_xyz
'x,y,z'
loop_
_atom_site_label
_atom_site_type_symbol
_atom_site_fract_x
_atom_site_fract_y
_atom_site_fract_z
_atom_site_occupancy
Pr1 Pr 0.1344 0.8656 0.7500 1
Pr2 Pr 0.8656 0.1344 0.2500 1
Pt1 Pt 0.2494 0.7506 0.2500 1
Pt2 Pt 0.7506 0.2494 0.7500 1
Au1 Au 0.2435 0.4005 0.9037 1
Au2 Au 0.4005 0.2435 0.4037 1
Au3 Au 0.5995 0.7565 0.5963 1
Au4 Au 0.7565 0.5995 0.0963 1

=====

Q: Which value of E_form does entry 1 give?
A: -917 meV per atom

=====

Q: Which value of E_form does entry 8 give?
A: -767 meV per atom

=====

Q: DOS at the Fermi energy of number 12 (PrPtAu2)?
A: 1.5 states/eV/f.u.